Entry 1:
The following is a DFT calculation (GGA-PBE) of a relaxed structure of Ca3PmTh2P6.

Unit cell a=7.2522 b=7.2522 c=7.1352 alpha=99.76 beta=99.76 gamma=120.01
Sites, in units of the cell vectors:
Ca 0.1655 0.8345 0.5000
Ca 0.8345 0.1655 0.5000
Ca 0.5000 0.5000 0.5000
Pm 0.0000 0.0000 0.0000
Th 0.3333 0.6667 0.0000
Th 0.6667 0.3333 0.0000
P 0.9199 0.5837 0.7595
P 0.7439 0.7439 0.2406
P 0.0801 0.4163 0.2405
P 0.5837 0.9199 0.7595
P 0.2561 0.2561 0.7594
P 0.4163 0.0801 0.2405

Output
Formation energy, eV/atom: -1.32
Magnetic moment, Bohr magnetons per cell: 0.0
Symmetry: C2/m, No. 12

=====

Entry 2:
The following is a DFT calculation (GGA-PBE) of a relaxed structure of Mg6Cd2Ni.

Unit cell a=3.2712 b=8.0397 c=8.0393 alpha=120.00 beta=90.00 gamma=90.00
Sites, in units of the cell vectors:
Mg 0.5000 0.6328 0.0000
Mg 0.5000 0.3672 0.3672
Mg 0.5000 0.0000 0.6328
Mg 0.0000 0.2541 0.0000
Mg 0.0000 0.7459 0.7458
Mg 0.0000 0.0000 0.2542
Cd 0.0000 0.3333 0.6667
Cd 0.0000 0.6667 0.3333
Ni 0.5000 0.0000 0.0000

Output
Formation energy, eV/atom: -0.11
Magnetic moment, Bohr magnetons per cell: 0.0
Symmetry: P-62m, No. 189

=====

Entry 3:
The following is a DFT calculation (GGA-PBE) of a relaxed structure of LiHo3Er3S8.

Unit cell a=7.7017 b=7.7016 c=7.7056 alpha=119.98 beta=90.00 gamma=120.00
Sites, in units of the cell vectors:
Li 0.0000 0.0000 0.5000
Ho 0.0000 0.0000 0.0000
Ho 0.0000 0.5000 0.0000
Ho 0.5000 0.5000 0.0000
Er 0.5000 0.0000 0.5000
Er 0.5000 0.5000 0.5000
Er 0.0000 0.5000 0.5000
S 0.2505 0.5010 0.2515
S 0.7495 0.4990 0.7485
S 0.7541 0.5083 0.2552
S 0.2459 0.4917 0.7448
S 0.7541 0.0011 0.2552
S 0.2459 0.9989 0.7448
S 0.2470 0.0011 0.2552
S 0.7530 0.9989 0.7448

Output
E_form (uncorrected), eV/atom: -1.99
Magnetic moment, Bohr magnetons per cell: 0.0
Symmetry: R-3m, No. 166

=====

Entry 4:
The following is a DFT calculation (GGA-PBE) of a relaxed structure of BaCaHgAs.

Unit cell a=5.5567 b=5.5567 c=5.5567 alpha=60.00 beta=60.00 gamma=60.00
Sites, in units of the cell vectors:
As 0.0000 0.0000 0.0000
Ca 0.2500 0.2500 0.2500
Hg 0.5000 0.5000 0.5000
Ba 0.7500 0.7500 0.7500

Output
Formation energy, eV/atom: -0.71
Magnetic moment, Bohr magnetons per cell: 0.0
Symmetry: F-43m, No. 216

=====

Entry 5:
The following is a DFT calculation (GGA-PBE) of a relaxed structure of ThHgPd.

Unit cell a=4.8033 b=4.8033 c=4.8033 alpha=60.00 beta=60.00 gamma=60.00
Sites, in units of the cell vectors:
Pd 0.2500 0.2500 0.2500
Hg 0.0000 0.0000 0.0000
Th 0.5000 0.5000 0.5000

Output
Formation energy, eV/atom: -0.48
Magnetic moment, Bohr magnetons per cell: 0.0
Symmetry: F-43m, No. 216

=====

Entry 6:
The following is a DFT calculation (GGA-PBE) of a relaxed structure of HfMgPCl2.

Unit cell a=4.4179 b=4.4179 c=5.8685 alpha=90.00 beta=90.00 gamma=90.00
Site moments in Bohr magnetons follow the coordinates.
Sites, in units of the cell vectors:
P 0.0000 0.0000 0.5000  -0.02
Mg 0.0000 0.0000 0.0000  0.00
Hf 0.5000 0.5000 0.5000  0.52
Cl 0.0000 0.5000 0.0000  0.01
Cl 0.5000 0.0000 0.0000  0.01

Output
E_form (uncorrected), eV/atom: -0.27
Excess energy over the best structure of this formula in the dataset, meV/atom: 408
Magnetic moment, Bohr magnetons per cell: 0.8
Symmetry: P4/mmm, No. 123

=====

Number 1: V 306 Å³/cell. Number 2: V 183 Å³/cell. Number 3: V 323 Å³/cell. Number 4: V 121 Å³/cell. Number 5: V 78 Å³/cell. Number 6: V 115 Å³/cell.